# 1
# PBE with a Hubbard U SmFe2SbO6, optimized geometry
data_SmFe2SbO6
_cell_length_a 5.507
_cell_length_b 5.488
_cell_length_c 5.831
_cell_angle_alpha 61.76
_cell_angle_beta 62.23
_cell_angle_gamma 59.80
_symmetry_space_group_name_H-M 'P 1'
_symmetry_Int_Tables_number 1
loop_
_symmetry_equiv_pos_as_xyz
'x,y,z'
loop_
_atom_site_label
_atom_site_type_symbol
_atom_site_fract_x
_atom_site_fract_y
_atom_site_fract_z
_atom_site_occupancy
Sm1 Sm 0.803 0.804 0.579 1
Fe1 Fe 0.525 0.533 0.422 1
Fe2 Fe 0.014 0.019 0.950 1
Sb1 Sb 0.320 0.319 0.041 1
O1 O 0.593 0.228 0.233 1
O2 O 0.241 0.936 0.243 1
O3 O 0.948 0.582 0.240 1
O4 O 0.383 0.706 0.774 1
O5 O 0.699 0.149 0.760 1
O6 O 0.135 0.385 0.774 1
# - electronic total energy (eV/f.u.) = -69.310
# - crystal system = triclinic

---

# 2
# PBE with a Hubbard U Fe2SnSbO6, optimized geometry
data_Fe2SnSbO6
_cell_length_a 5.436
_cell_length_b 5.462
_cell_length_c 5.775
_cell_angle_alpha 61.81
_cell_angle_beta 61.21
_cell_angle_gamma 59.88
_symmetry_space_group_name_H-M 'P 1'
_symmetry_Int_Tables_number 1
loop_
_symmetry_equiv_pos_as_xyz
'x,y,z'
loop_
_atom_site_label
_atom_site_type_symbol
_atom_site_fract_x
_atom_site_fract_y
_atom_site_fract_z
_atom_site_occupancy
Fe1 Fe 0.528 0.520 0.429 1
Fe2 Fe 0.029 0.024 0.928 1
Sn1 Sn 0.812 0.815 0.559 1
Sb1 Sb 0.314 0.312 0.058 1
O1 O 0.614 0.204 0.251 1
O2 O 0.207 0.927 0.255 1
O3 O 0.919 0.603 0.265 1
O4 O 0.420 0.714 0.764 1
O5 O 0.706 0.111 0.755 1
O6 O 0.112 0.432 0.751 1
# - electronic total energy (eV/f.u.) = -63.063
# - crystal system = triclinic

---

# 3
# PBE with a Hubbard U Sr3FeSb2O9, optimized geometry
data_Sr3FeSb2O9
_cell_length_a 5.760
_cell_length_b 5.760
_cell_length_c 7.074
_cell_angle_alpha 90.00
_cell_angle_beta 90.00
_cell_angle_gamma 120.00
_symmetry_space_group_name_H-M 'P 1'
_symmetry_Int_Tables_number 1
loop_
_symmetry_equiv_pos_as_xyz
'x,y,z'
loop_
_atom_site_label
_atom_site_type_symbol
_atom_site_fract_x
_atom_site_fract_y
_atom_site_fract_z
_atom_site_occupancy
Sr1 Sr 0.333 0.667 0.658 1
Sr2 Sr 0.000 0.000 0.000 1
Sr3 Sr 0.667 0.333 0.342 1
Fe1 Fe 0.000 0.000 0.500 1
Sb1 Sb 0.333 0.667 0.175 1
Sb2 Sb 0.667 0.333 0.825 1
O1 O 0.834 0.166 0.667 1
O2 O 0.834 0.667 0.667 1
O3 O 0.333 0.166 0.667 1
O4 O 0.667 0.834 0.333 1
O5 O 0.166 0.333 0.333 1
O6 O 0.166 0.834 0.333 1
O7 O 0.500 0.000 0.000 1
O8 O 0.000 0.500 0.000 1
O9 O 0.500 0.500 0.000 1
# - electronic total energy (eV/f.u.) = -94.835
# - crystal system = trigonal

---

# 4
# PBE with a Hubbard U TaFeSb2O8, optimized geometry
data_TaFeSb2O8
_cell_length_a 4.796
_cell_length_b 4.794
_cell_length_c 6.478
_cell_angle_alpha 90.00
_cell_angle_beta 90.00
_cell_angle_gamma 89.35
_symmetry_space_group_name_H-M 'P 1'
_symmetry_Int_Tables_number 1
loop_
_symmetry_equiv_pos_as_xyz
'x,y,z'
loop_
_atom_site_label
_atom_site_type_symbol
_atom_site_fract_x
_atom_site_fract_y
_atom_site_fract_z
_atom_site_occupancy
Ta1 Ta 0.000 0.000 0.000 1
Fe1 Fe 0.000 0.000 0.500 1
Sb1 Sb 0.500 0.500 0.746 1
Sb2 Sb 0.500 0.500 0.254 1
O1 O 0.196 0.804 0.229 1
O2 O 0.696 0.697 0.000 1
O3 O 0.805 0.196 0.229 1
O4 O 0.804 0.196 0.771 1
O5 O 0.304 0.303 0.000 1
O6 O 0.195 0.804 0.771 1
O7 O 0.690 0.691 0.500 1
O8 O 0.310 0.309 0.500 1
# - electronic total energy (eV/f.u.) = -86.861
# - crystal system = orthorhombic